(1)
Entry from Alexandria via LeMat-Bulk: crystalline MnTl2P at its relaxed geometry (PBEsol).

Unit cell a=6.2856 b=6.2856 c=6.2856 alpha=150.64 beta=136.18 gamma=53.62
Atoms (fractional coordinates):
Mn 0.0000 0.0000 0.0000
Tl 0.4495 0.4495 0.0000
Tl 0.7452 0.2452 0.5000
P 0.1422 0.6422 0.5000

calculated formation energy	6.0	kcal/mol of atoms
M_tot	2.90	μB per formula unit
density of states at the Fermi level	2.522	states/eV per cell
energy above the lowest structure with this stoichiometry	0.0000	eV/atom
final energy	-4.94	eV per atom

***

(2)
Entry from Alexandria via LeMat-Bulk: crystalline TaAu5 at its relaxed geometry (PBEsol).

Unit cell a=4.9266 b=4.9266 c=4.8116 alpha=90.00 beta=90.00 gamma=120.00
Atoms (fractional coordinates):
Ta 0.0000 0.0000 0.0000
Au 0.0000 0.6790 0.5000
Au 0.3210 0.3210 0.5000
Au 0.3333 0.6667 0.0000
Au 0.6667 0.3333 0.0000
Au 0.6790 0.0000 0.5000

calculated formation energy	-1.4	kcal/mol of atoms
M_tot	0.00	μB per formula unit
density of states at the Fermi level	2.616	states/eV per cell
final energy	-5.42	eV per atom

***

(3)
Entry from Alexandria via LeMat-Bulk: crystalline AlPBr4 at its relaxed geometry (PBEsol).

Unit cell a=6.1384 b=6.1384 c=6.1384 alpha=60.00 beta=60.00 gamma=60.00
Atoms (fractional coordinates):
Al 0.0000 0.0000 0.0000
P 0.2500 0.2500 0.2500
Br 0.1258 0.6247 0.6247
Br 0.6247 0.1258 0.6247
Br 0.6247 0.6247 0.1258
Br 0.6247 0.6247 0.6247

M_tot	2.61	μB per formula unit
density of states at the Fermi level	4.389	states/eV per cell
final energy	-1.99	eV per atom

***

(4)
Entry from Alexandria via LeMat-Bulk: crystalline LiScOs2 at its relaxed geometry (PBEsol).

Unit cell a=2.7881 b=3.9462 c=5.4470 alpha=90.00 beta=90.00 gamma=90.00
Atoms (fractional coordinates):
Li 0.0000 0.0000 0.0000
Sc 0.5000 0.5000 0.7491
Os 0.0000 0.0000 0.4599
Os 0.5000 0.5000 0.2669

calculated formation energy	1.8	kcal/mol of atoms
M_tot	0.00	μB per formula unit
density of states at the Fermi level	2.012	states/eV per cell
energy above the lowest structure with this stoichiometry	0.0049	eV/atom
final energy	-8.17	eV per atom

***

Number 1: ρ 9.8 g/cm³. Number 2: ρ 19.1 g/cm³. Number 3: ρ 3.8 g/cm³. Number 4: ρ 12.0 g/cm³.